A relaxed PuPa4 crystal, computed with GGA-PBE.

Cell: 5.9561 5.9561 8.1067 Å, 103.14 103.14 111.63°
Fractional coordinates of all 10 atoms:
Pu  0.1861  0.8139  0.0000
Pu  0.8139  0.1861  0.0000
Pa  0.0063  0.4220  0.6937
Pa  0.1844  0.1844  0.4043
Pa  0.3149  0.3149  0.0616
Pa  0.4220  0.0063  0.6937
Pa  0.5780  0.9937  0.3063
Pa  0.6851  0.6851  0.9384
Pa  0.8156  0.8156  0.5957
Pa  0.9937  0.5780  0.3063

- distance to the lowest polymorph of the same formula (kJ/mol of atoms) = 8.9
- raw total energy (eV/atom) = -10.2900
- ΔE_f (eV/atom) = 0.17

A relaxed Pu3Pa crystal, computed with GGA-PBE.

Cell: 4.5500 4.5500 4.5500 Å, 90.00 90.00 90.00°
Fractional coordinates of all 4 atoms:
Pu  0.0000  0.0000  0.5000
Pu  0.0000  0.5000  0.0000
Pu  0.5000  0.0000  0.0000
Pa  0.5000  0.5000  0.5000

- distance to the lowest polymorph of the same formula (kJ/mol of atoms) = 0.2
- raw total energy (eV/atom) = -12.8680
- ΔE_f (eV/atom) = 0.25

A relaxed Pu2Pa3 crystal, computed with GGA-PBE.

Cell: 7.8654 7.8654 9.5120 Å, 120.65 120.65 28.75°
Fractional coordinates of all 10 atoms:
Pu  0.1773  0.1773  0.3801
Pu  0.3160  0.3160  0.1393
Pu  0.6840  0.6840  0.8607
Pu  0.8227  0.8227  0.6199
Pa  0.0456  0.0456  0.8159
Pa  0.3479  0.3479  0.8252
Pa  0.3950  0.3950  0.4630
Pa  0.6050  0.6050  0.5370
Pa  0.6521  0.6521  0.1748
Pa  0.9544  0.9544  0.1841

- distance to the lowest polymorph of the same formula (kJ/mol of atoms) = 14.0
- raw total energy (eV/atom) = -11.2189
- ΔE_f (eV/atom) = 0.21

A relaxed PuPa crystal, computed with GGA-PBE.

Cell: 3.2131 3.2910 9.1349 Å, 89.84 84.89 62.17°
Fractional coordinates of all 4 atoms:
Pu  0.0288  0.2372  0.4071
Pu  0.9712  0.7628  0.5929
Pa  0.3750  0.8123  0.8462
Pa  0.6250  0.1877  0.1538

- distance to the lowest polymorph of the same formula (kJ/mol of atoms) = 15.7
- raw total energy (eV/atom) = -11.7415
- ΔE_f (eV/atom) = 0.17